Material: Tm2Fe2SiSnC
Method: DFT, PBE
State: optimized geometry

- volume (A^3/atom) = 16.494
- uncorrected energy (eV per atom) = -6.8258
- space group = Cm

Cell lengths 5.7446, 5.7446, 6.8584 Å; angles 125.53, 125.53, 40.53 degrees
With the nearest neighbours (Å) after each atom.
Element x y z (fractional)
1 C 0.9940 0.9940 0.9944  2 Fe 1.77-1.78
2 Fe 0.1829 0.1829 0.0667  1 C 1.77
3 Fe 0.7961 0.7961 0.8900  1 C 1.78
4 Si 0.1703 0.1703 0.7195  3 Fe 2.28-2.30
5 Sn 0.8475 0.8475 0.3079  3 Fe 2.49-2.56
6 Tm 0.5593 0.5593 0.2912  2 C 2.61
7 Tm 0.4499 0.4499 0.7303  2 C 2.53